[1]
In2ReTe: optimized geometry, GGA-PBE.

* formation energy (no corrections): 226 kJ/mol of formula units

abc: 3.1629 3.1629 30.9262
angles: 90.00 90.00 120.00
Space group R-3m (No. 166, hexagonal axes)
Asymmetric unit:
In  0.0000  0.0000  0.2364 [6 per cell]
Re  0.0000  0.0000  0.5000 [3 per cell]
Te  0.0000  0.0000  0.0000 [3 per cell]

[2]
V3Mo2Ru2: optimized geometry, GGA-PBE.

* energy of formation from the pure elements: -45 meV/atom

abc: 18.207 4.151 2.694
angles: 90.00 97.29 90.00
Space group C2/m (No. 12)
Asymmetric unit:
V  0.000  0.000  0.000 [2 per cell]
V  0.136  0.000  0.408 [4 per cell]
Mo  0.214  0.500  0.817 [4 per cell]
Ru  0.068  0.500  0.748 [4 per cell]

[3]
MnAg2Br: optimized geometry, GGA-PBE.

* energy above the lowest structure with this stoichiometry: 0.300 eV per atom
* formation energy (no corrections): 143 kJ/mol of formula units

abc: 7.905 7.905 5.513
angles: 90.00 90.00 90.00
Space group I-42d (No. 122)
Asymmetric unit:
Mn  0.000  0.000  0.000 [4 per cell]
Ag  0.234  0.250  0.125 [8 per cell]
Br  0.000  0.000  0.500 [4 per cell]

[4]
TaI3: optimized geometry, GGA-PBE.

* formation energy (no corrections): -58 kJ/mol of formula units

abc: 3.588 12.522 7.481
angles: 90.00 90.00 90.00
Space group Imm2 (No. 44)
Asymmetric unit:
Ta  0.000  0.000  0.000 [2 per cell]
I  0.000  0.350  0.644 [4 per cell]
I  0.000  0.500  0.211 [2 per cell]

Listing final energy for the structures above in their given order: -56.2 -135.8 -60.3 -34.2 eV/cell.